Entry 1:
! HgGe3Ir GGA-PBE optimized geometry; values from VASP
! Energy above the most stable polymorph in this dataset   0.0 kJ/mol of atoms
! N(E_F)   0.752 states/eV per atom
&SYSTEM
  ibrav = 0, nat = 5, ntyp = 3
/
ATOMIC_SPECIES
Ge 72.64 Ge.upf
Ir 192.22 Ir.upf
Hg 200.59 Hg.upf
CELL_PARAMETERS angstrom
4.8721 0.0000 0.0000
0.0000 4.8721 0.0000
0.0000 0.0000 4.8721
ATOMIC_POSITIONS crystal
Ge 0.0000 0.5000 0.0000
Ge 0.0000 0.0000 0.5000
Ge 0.5000 0.0000 0.0000
Ir 0.0000 0.0000 0.0000
Hg 0.5000 0.5000 0.5000

Entry 2:
! PbW2Au GGA-PBE optimized geometry; values from VASP
! Uncorrected energy   -7.287 eV/atom
! N(E_F)   1.226 states/eV per atom
&SYSTEM
  ibrav = 0, nat = 4, ntyp = 3
/
ATOMIC_SPECIES
Au 196.97 Au.upf
Pb 207.20 Pb.upf
W 183.84 W.upf
CELL_PARAMETERS angstrom
4.5954 0.0000 0.0000
0.0000 4.0096 0.0000
0.0000 0.0000 4.0096
ATOMIC_POSITIONS crystal
Au 0.5000 0.5000 0.0000
Pb 0.5000 0.0000 0.5000
W 0.0000 0.0000 0.0000
W 0.0000 0.5000 0.5000

Entry 3:
! HfS2NCl GGA-PBE optimized geometry; values from VASP
! Energy above the most stable polymorph in this dataset   36.8 kJ/mol of atoms
! N(E_F)   0.656 states/eV per atom
&SYSTEM
  ibrav = 0, nat = 5, ntyp = 4
/
ATOMIC_SPECIES
S 32.06 S.upf
N 14.01 N.upf
Hf 178.49 Hf.upf
Cl 35.45 Cl.upf
CELL_PARAMETERS angstrom
4.1884 0.0000 0.0000
0.0000 4.1884 0.0000
0.0000 0.0000 4.2427
ATOMIC_POSITIONS crystal
S 0.0000 0.5000 0.0000
S 0.5000 0.0000 0.0000
N 0.0000 0.0000 0.0000
Hf 0.5000 0.5000 0.5000
Cl 0.0000 0.0000 0.5000